# KMgSb2 (PBE, optimized geometry)
# Formation energy without anion corrections   -1.1 eV per formula unit
data_KMgSb2
_symmetry_space_group_name_H-M 'C 1 2/m 1'
_symmetry_Int_Tables_number 12
_symmetry_space_group_name_Hall '-C 2y'
_cell_length_a 9.418
_cell_length_b 3.998
_cell_length_c 7.141
_cell_angle_alpha 90.00
_cell_angle_beta 102.76
_cell_angle_gamma 90.00
loop_
_atom_site_label
_atom_site_type_symbol
_atom_site_fract_x
_atom_site_fract_y
_atom_site_fract_z
_atom_site_occupancy
K1 K 0.000 0.000 0.000 1
Mg1 Mg 0.000 0.500 0.500 1
Sb1 Sb 0.234 0.000 0.661 1



# KMgSb2 (PBE, optimized geometry)
# Formation energy without anion corrections   -0.8 eV per formula unit
data_KMgSb2
_symmetry_space_group_name_H-M 'R -3 m'
_symmetry_Int_Tables_number 166
_symmetry_space_group_name_Hall '-R 3 2"'
_cell_length_a 3.6773
_cell_length_b 3.6773
_cell_length_c 29.8745
_cell_angle_alpha 90.00
_cell_angle_beta 90.00
_cell_angle_gamma 120.00
loop_
_atom_site_label
_atom_site_type_symbol
_atom_site_fract_x
_atom_site_fract_y
_atom_site_fract_z
_atom_site_occupancy
K1 K 0.0000 0.0000 0.0000 1
Mg1 Mg 0.0000 0.0000 0.5000 1
Sb1 Sb 0.0000 0.0000 0.2381 1



Theoretical density for the records above, in order: 3.887, 4.370 g/cm³
Fermi-level density of states for the records above, in order: 1.7, 1.9 states/eV/f.u.
Uncorrected energy for the records above, in order: -24.1, -35.3 eV/cell